A | # NaNd2Tl, relaxed, DFT PBE-GGA
data_NaNd2Tl
_space_group_name_H-M_alt 'F m -3 m'
_space_group_IT_number 225
_space_group_name_Hall '-F 4 2 3'
_cell_length_a 7.8643
_cell_length_b 7.8643
_cell_length_c 7.8643
_cell_angle_alpha 90.00
_cell_angle_beta 90.00
_cell_angle_gamma 90.00
loop_
_atom_site_label
_atom_site_type_symbol
_atom_site_fract_x
_atom_site_fract_y
_atom_site_fract_z
Na1 Na 0.0000 0.0000 0.0000
Nd1 Nd 0.2500 0.2500 0.2500
Tl1 Tl 0.0000 0.0000 0.5000
# - V (Å³ per cell) = 486.39


B | # NaNd2Tl, relaxed, DFT PBE-GGA
data_NaNd2Tl
_space_group_name_H-M_alt 'R -3 m'
_space_group_IT_number 166
_space_group_name_Hall '-R 3 2"'
_cell_length_a 3.6188
_cell_length_b 3.6188
_cell_length_c 37.2480
_cell_angle_alpha 90.00
_cell_angle_beta 90.00
_cell_angle_gamma 120.00
loop_
_atom_site_label
_atom_site_type_symbol
_atom_site_fract_x
_atom_site_fract_y
_atom_site_fract_z
Na1 Na 0.0000 0.0000 0.0000
Nd1 Nd 0.0000 0.0000 0.0974
Tl1 Tl 0.0000 0.0000 0.5000
# - V (Å³ per cell) = 422.45


C | # NaNd2Tl, relaxed, DFT PBE-GGA
data_NaNd2Tl
_space_group_name_H-M_alt 'P 4/m m m'
_space_group_IT_number 123
_space_group_name_Hall '-P 4 2'
_cell_length_a 3.8469
_cell_length_b 3.8469
_cell_length_c 8.6861
_cell_angle_alpha 90.00
_cell_angle_beta 90.00
_cell_angle_gamma 90.00
loop_
_atom_site_label
_atom_site_type_symbol
_atom_site_fract_x
_atom_site_fract_y
_atom_site_fract_z
Na1 Na 0.0000 0.0000 0.0000
Nd1 Nd 0.5000 0.5000 0.2765
Tl1 Tl 0.0000 0.0000 0.5000
# - V (Å³ per cell) = 128.55


D | # NaNd2Tl, relaxed, DFT PBE-GGA
data_NaNd2Tl
_space_group_name_H-M_alt 'P 4/m m m'
_space_group_IT_number 123
_space_group_name_Hall '-P 4 2'
_cell_length_a 5.2223
_cell_length_b 5.2223
_cell_length_c 4.4624
_cell_angle_alpha 90.00
_cell_angle_beta 90.00
_cell_angle_gamma 90.00
loop_
_atom_site_label
_atom_site_type_symbol
_atom_site_fract_x
_atom_site_fract_y
_atom_site_fract_z
Na1 Na 0.0000 0.0000 0.0000
Nd1 Nd 0.0000 0.5000 0.5000
Tl1 Tl 0.5000 0.5000 0.0000
# - V (Å³ per cell) = 121.70


Decreasing stability: A, D, C, B


A | # NaNdTl4, relaxed, DFT PBE-GGA
data_NaNdTl4
_space_group_name_H-M_alt 'F -4 3 m'
_space_group_IT_number 216
_space_group_name_Hall 'F -4 2 3'
_cell_length_a 8.9711
_cell_length_b 8.9711
_cell_length_c 8.9711
_cell_angle_alpha 90.00
_cell_angle_beta 90.00
_cell_angle_gamma 90.00
loop_
_atom_site_label
_atom_site_type_symbol
_atom_site_fract_x
_atom_site_fract_y
_atom_site_fract_z
Na1 Na 0.0000 0.0000 0.0000
Nd1 Nd 0.2500 0.2500 0.2500
Tl1 Tl 0.1249 0.1249 0.6249
# - V (Å³ per cell) = 721.99


B | # NaNdTl4, relaxed, DFT PBE-GGA
data_NaNdTl4
_space_group_name_H-M_alt 'P 1'
_space_group_IT_number 1
_space_group_name_Hall 'P 1'
_cell_length_a 3.6779
_cell_length_b 5.1361
_cell_length_c 9.3053
_cell_angle_alpha 90.04
_cell_angle_beta 92.84
_cell_angle_gamma 90.04
loop_
_atom_site_label
_atom_site_type_symbol
_atom_site_fract_x
_atom_site_fract_y
_atom_site_fract_z
Na1 Na 0.0000 0.0000 0.0000
Nd1 Nd 0.0021 0.5000 0.5062
Tl1 Tl 0.3669 0.9999 0.3352
Tl2 Tl 0.3940 0.5000 0.8408
Tl3 Tl 0.6163 0.0000 0.6670
Tl4 Tl 0.6240 0.4999 0.1689
# - V (Å³ per cell) = 175.57


Decreasing stability: B, A


A | # NaNd5Tl4, relaxed, DFT PBE-GGA
data_NaNd5Tl4
_space_group_name_H-M_alt 'P m m n'
_space_group_IT_number 59
_cell_length_a 7.6226
_cell_length_b 10.5657
_cell_length_c 8.8999
_cell_angle_alpha 90.00
_cell_angle_beta 90.00
_cell_angle_gamma 90.00
loop_
_space_group_symop_operation_xyz
'x,y,z'
'-x,-y,-z'
'-x+1/2,-y+1/2,z'
'x+1/2,y+1/2,-z'
'x+1/2,-y,-z'
'-x+1/2,y,z'
'-x,y+1/2,-z'
'x,-y+1/2,z'
loop_
_atom_site_label
_atom_site_type_symbol
_atom_site_fract_x
_atom_site_fract_y
_atom_site_fract_z
Na1 Na 0.2500 0.2500 0.1106
Nd1 Nd 0.0014 0.5505 0.2898
Nd2 Nd 0.2500 0.7500 0.7703
Tl1 Tl 0.0570 0.2500 0.4461
Tl2 Tl 0.2500 0.5197 0.0008
# - V (Å³ per cell) = 716.78


B | # NaNd5Tl4, relaxed, DFT PBE-GGA
data_NaNd5Tl4
_space_group_name_H-M_alt 'P 4/m m m'
_space_group_IT_number 123
_space_group_name_Hall '-P 4 2'
_cell_length_a 3.7717
_cell_length_b 3.7717
_cell_length_c 21.6088
_cell_angle_alpha 90.00
_cell_angle_beta 90.00
_cell_angle_gamma 90.00
loop_
_atom_site_label
_atom_site_type_symbol
_atom_site_fract_x
_atom_site_fract_y
_atom_site_fract_z
Na1 Na 0.0000 0.0000 0.0000
Nd1 Nd 0.5000 0.5000 0.1165
Nd2 Nd 0.5000 0.5000 0.3063
Nd3 Nd 0.5000 0.5000 0.5000
Tl1 Tl 0.0000 0.0000 0.2066
Tl2 Tl 0.0000 0.0000 0.4028
# - V (Å³ per cell) = 307.40


Decreasing stability: B, A


A | # NaNd6Tl5, relaxed, DFT PBE-GGA
data_NaNd6Tl5
_space_group_name_H-M_alt 'C 1 2/m 1'
_space_group_IT_number 12
_space_group_name_Hall '-C 2y'
_cell_length_a 6.7054
_cell_length_b 11.4256
_cell_length_c 10.3017
_cell_angle_alpha 90.00
_cell_angle_beta 101.20
_cell_angle_gamma 90.00
loop_
_atom_site_label
_atom_site_type_symbol
_atom_site_fract_x
_atom_site_fract_y
_atom_site_fract_z
Na1 Na 0.0000 0.0000 0.0000
Nd1 Nd 0.2224 0.5000 0.2380
Nd2 Nd 0.2289 0.3224 0.7342
Tl1 Tl 0.0000 0.1447 0.5000
Tl2 Tl 0.0000 0.3083 0.0000
Tl3 Tl 0.0000 0.5000 0.5000
# - V (Å³ per cell) = 774.20


B | # NaNd6Tl5, relaxed, DFT PBE-GGA
data_NaNd6Tl5
_space_group_name_H-M_alt 'I m m m'
_space_group_IT_number 71
_space_group_name_Hall '-I 2 2'
_cell_length_a 5.5481
_cell_length_b 7.7715
_cell_length_c 16.7544
_cell_angle_alpha 90.00
_cell_angle_beta 90.00
_cell_angle_gamma 90.00
loop_
_atom_site_label
_atom_site_type_symbol
_atom_site_fract_x
_atom_site_fract_y
_atom_site_fract_z
Na1 Na 0.0000 0.0000 0.0000
Nd1 Nd 0.0000 0.2387 0.5000
Nd2 Nd 0.0000 0.2533 0.1712
Tl1 Tl 0.0000 0.0000 0.3328
Tl2 Tl 0.0000 0.5000 0.0000
Tl3 Tl 0.0000 0.5000 0.3469
# - V (Å³ per cell) = 722.40


Decreasing stability: B, A


A | # NaNdTl2, relaxed, DFT PBE-GGA
data_NaNdTl2
_space_group_name_H-M_alt 'R 3 m'
_space_group_IT_number 160
_space_group_name_Hall 'R 3 -2"'
_cell_length_a 3.6754
_cell_length_b 3.6754
_cell_length_c 31.4916
_cell_angle_alpha 90.00
_cell_angle_beta 90.00
_cell_angle_gamma 120.00
loop_
_atom_site_label
_atom_site_type_symbol
_atom_site_fract_x
_atom_site_fract_y
_atom_site_fract_z
Na1 Na 0.0000 0.0000 0.0000
Nd1 Nd 0.0000 0.0000 0.1668
Tl1 Tl 0.0000 0.0000 0.5851
Tl2 Tl 0.0000 0.0000 0.7486
# - V (Å³ per cell) = 368.42


B | # NaNdTl2, relaxed, DFT PBE-GGA
data_NaNdTl2
_space_group_name_H-M_alt 'F m -3 m'
_space_group_IT_number 225
_space_group_name_Hall '-F 4 2 3'
_cell_length_a 7.6810
_cell_length_b 7.6810
_cell_length_c 7.6810
_cell_angle_alpha 90.00
_cell_angle_beta 90.00
_cell_angle_gamma 90.00
loop_
_atom_site_label
_atom_site_type_symbol
_atom_site_fract_x
_atom_site_fract_y
_atom_site_fract_z
Na1 Na 0.0000 0.0000 0.0000
Nd1 Nd 0.0000 0.0000 0.5000
Tl1 Tl 0.2500 0.2500 0.2500
# - V (Å³ per cell) = 453.16


Decreasing stability: B, A


A | # NaNd2Tm, relaxed, DFT PBE-GGA
data_NaNd2Tm
_space_group_name_H-M_alt 'R -3 m'
_space_group_IT_number 166
_space_group_name_Hall '-R 3 2"'
_cell_length_a 3.5557
_cell_length_b 3.5557
_cell_length_c 38.5323
_cell_angle_alpha 90.00
_cell_angle_beta 90.00
_cell_angle_gamma 120.00
loop_
_atom_site_label
_atom_site_type_symbol
_atom_site_fract_x
_atom_site_fract_y
_atom_site_fract_z
Na1 Na 0.0000 0.0000 0.0000
Nd1 Nd 0.0000 0.0000 0.0926
Tm1 Tm 0.0000 0.0000 0.5000
# - V (Å³ per cell) = 421.91


B | # NaNd2Tm, relaxed, DFT PBE-GGA
data_NaNd2Tm
_space_group_name_H-M_alt 'P 4/m m m'
_space_group_IT_number 123
_space_group_name_Hall '-P 4 2'
_cell_length_a 5.9316
_cell_length_b 5.9316
_cell_length_c 3.7621
_cell_angle_alpha 90.00
_cell_angle_beta 90.00
_cell_angle_gamma 90.00
loop_
_atom_site_label
_atom_site_type_symbol
_atom_site_fract_x
_atom_site_fract_y
_atom_site_fract_z
Na1 Na 0.0000 0.0000 0.0000
Nd1 Nd 0.0000 0.5000 0.5000
Tm1 Tm 0.5000 0.5000 0.0000
# - V (Å³ per cell) = 132.36


Decreasing stability: A, B